[1]
Density functional theory data (PBE) for a geometry-optimized NaSmO structure.

E above lowest polymorph = 0 meV/atom
N(E_F) = 0.4703 states/eV/atom
SG = P4/nmm, No. 129
Uncorrected formation energy = -5.55 eV per formula unit
Electronic total energy = -33.09 eV per cell

Cell lengths 4.097, 4.097, 9.502 Å; angles 90.00, 90.00, 90.00 degrees
Fractional positions:
Sm: 0.500 0.000 0.113
Sm: 0.000 0.500 0.887
Na: 0.500 0.000 0.598
Na: 0.000 0.500 0.402
O: 0.500 0.500 0.000
O: 0.000 0.000 0.000

=====

[2]
Density functional theory data (PBE) for a geometry-optimized NaSm2O structure.

N(E_F) = 0.9018 states/eV/atom
SG = R-3m, No. 166
Uncorrected formation energy = -4.46 eV per formula unit
Electronic total energy = -20.18 eV per cell

Cell lengths 3.603, 3.603, 9.934 Å; angles 79.55, 79.55, 60.00 degrees
Fractional positions:
Na: 0.000 0.000 0.000
O: 0.500 0.500 0.500
Sm: 0.121 0.121 0.638
Sm: 0.879 0.879 0.362

=====

[3]
Density functional theory data (PBE) for a geometry-optimized Na5SmO4 structure.

N(E_F) = 0.0000 states/eV/atom
SG = C2/m, No. 12
Uncorrected formation energy = -17.62 eV per formula unit
Electronic total energy = -48.77 eV per cell

Cell lengths 3.610, 6.440, 7.541 Å; angles 115.18, 103.85, 90.00 degrees
Fractional positions:
Na: 0.826 0.591 0.652
Na: 0.826 0.061 0.651
Na: 0.174 0.939 0.349
Na: 0.500 0.500 0.000
Na: 0.174 0.409 0.348
Sm: 0.500 0.000 0.000
O: 0.313 0.812 0.625
O: 0.000 0.758 0.000
O: 0.687 0.188 0.375
O: 0.000 0.242 0.000

=====

[4]
Density functional theory data (PBE) for a geometry-optimized NaSmO structure.

E above lowest polymorph = 220 meV/atom
N(E_F) = 0.3483 states/eV/atom
SG = P3m1, No. 156
Uncorrected formation energy = -4.89 eV per formula unit
Electronic total energy = -15.89 eV per cell

Cell lengths 3.827, 3.827, 6.660 Å; angles 90.00, 90.00, 120.00 degrees
Fractional positions:
Na: 0.000 0.000 0.998
O: 0.333 0.667 0.531
Sm: 0.667 0.333 0.471